# 1
The following is a DFT calculation (PBE) of a relaxed structure of HfMg2O.

Computed properties:
- total DFT energy (no corrections) (eV per cell) = -40.8
- density of states at the Fermi level (states/eV/f.u.) = 3.51
- formation energy from raw total energies (eV per formula unit) = -2.3
- SG = I-42d, No. 122

Cell lengths 6.1463, 6.1463, 6.0517 Å; angles 59.48, 59.48, 90.00 degrees
Fractional positions:
Hf  0.0000  0.0000  0.0000
Mg  0.8750  0.5489  0.7500
Hf  0.7500  0.2500  0.5000
Mg  0.2989  0.1250  0.2500
O  0.2500  0.7500  0.5000
Mg  0.3750  0.7011  0.7500
O  0.5000  0.5000  0.0000
Mg  0.4511  0.6250  0.2500

=====

# 2
The following is a DFT calculation (PBE) of a relaxed structure of PmBeAl2.

Computed properties:
- total DFT energy (no corrections) (eV per cell) = -16.3
- density of states at the Fermi level (states/eV/f.u.) = 2.42
- excess energy over the best structure of this formula in the dataset (meV per atom) = 140
- SG = P4/mmm, No. 123

Cell lengths 4.3422, 4.2067, 4.2067 Å; angles 90.00, 90.00, 90.00 degrees
Fractional positions:
Be  0.5000  0.0000  0.0000
Al  0.0000  0.0000  0.5000
Pm  0.5000  0.5000  0.5000
Al  0.0000  0.5000  0.0000